First-principles (GGA-PBE) data for a relaxed LiU2InTe4 crystal, as listed in the Alexandria database.

## Properties
Size of the total moment: 5.99 μB per formula unit
Formation energy from raw total energies: -0.56 eV/atom
Crystal system: orthorhombic
Space group: Cmcm
Final energy: -88.6 eV/cell
DOS(E_F): 25.62 states/eV/cell

Unit cell a=4.424 b=7.734 c=15.754 alpha=90.00 beta=90.00 gamma=106.62
Last column: magnetic moment on the atom in μB.
Element x y z (fractional)
1 Te 0.273 0.547 0.387  -0.06
2 Te 0.440 0.879 0.750  -0.05
3 Te 0.727 0.453 0.613  -0.06
4 Te 0.560 0.121 0.250  -0.05
5 Te 0.000 0.000 0.500  -0.08
6 Te 0.000 0.000 0.000  -0.08
7 Te 0.273 0.547 0.113  -0.06
8 Te 0.727 0.453 0.887  -0.06
9 Li 0.836 0.672 0.750  0.00
10 Li 0.164 0.328 0.250  0.00
11 U 0.366 0.732 0.938  2.77
12 U 0.366 0.732 0.562  2.77
13 U 0.634 0.268 0.062  2.77
14 U 0.634 0.268 0.438  2.77
15 In 0.112 0.225 0.750  0.00
16 In 0.888 0.775 0.250  0.00